(1)
Sr2CoAgH6: relaxed, GGA-PBE.

uncorrected energy = -3.639 eV per atom

```
data_Sr2CoAgH6
_chemical_formula_sum 'Sr2 Co1 Ag1 H6'
_symmetry_space_group_name_H-M 'P -3 m 1'
_symmetry_Int_Tables_number 164
_symmetry_space_group_name_Hall '-P 3 2"'
_cell_length_a 5.2464
_cell_length_b 5.2464
_cell_length_c 5.1413
_cell_angle_alpha 90.00
_cell_angle_beta 90.00
_cell_angle_gamma 120.00
loop_
_atom_site_label
_atom_site_fract_x
_atom_site_fract_y
_atom_site_fract_z
_atom_site_occupancy
Sr1 0.3333 0.6667 0.2826 1
Co1 0.0000 0.0000 0.5000 1
Ag1 0.0000 0.0000 0.0000 1
H1 0.1521 0.3043 0.6772 1
```



(2)
ThCoAgH6: relaxed, GGA-PBE.

uncorrected energy = -4.324 eV per atom

```
data_ThCoAgH6
_chemical_formula_sum 'Th1 Co1 Ag1 H6'
_symmetry_space_group_name_H-M 'P -6 m 2'
_symmetry_Int_Tables_number 187
_symmetry_space_group_name_Hall 'P -6 2'
_cell_length_a 4.6191
_cell_length_b 4.6191
_cell_length_c 4.2782
_cell_angle_alpha 90.00
_cell_angle_beta 90.00
_cell_angle_gamma 120.00
loop_
_atom_site_label
_atom_site_fract_x
_atom_site_fract_y
_atom_site_fract_z
_atom_site_occupancy
Th1 0.0000 0.0000 0.0000 1
Co1 0.6667 0.3333 0.5000 1
Ag1 0.3333 0.6667 0.5000 1
H1 0.5247 0.0495 0.2274 1
```



(3)
Y2CoAgH: relaxed, GGA-PBE.

uncorrected energy = -5.538 eV per atom

```
data_Y2CoAgH
_chemical_formula_sum 'Y2 Co1 Ag1 H1'
_symmetry_space_group_name_H-M 'P 4/m m m'
_symmetry_Int_Tables_number 123
_symmetry_space_group_name_Hall '-P 4 2'
_cell_length_a 5.007
_cell_length_b 5.007
_cell_length_c 3.484
_cell_angle_alpha 90.00
_cell_angle_beta 90.00
_cell_angle_gamma 90.00
loop_
_atom_site_label
_atom_site_fract_x
_atom_site_fract_y
_atom_site_fract_z
_atom_site_occupancy
Y1 0.000 0.500 0.000 1
Co1 0.000 0.000 0.500 1
Ag1 0.500 0.500 0.500 1
H1 0.000 0.000 0.000 1
```



Q: What is the uncorrected energy in the third record?
A: -5.538 eV per atom